Entry 1:
DFT (GGA-PBE) results for an optimized crystal structure of LiHfCoSi.

Unit cell a=4.1996 b=4.1996 c=4.1996 alpha=60.00 beta=60.00 gamma=60.00
With the nearest neighbours (Å) after each atom.
Fractional coordinates of all 4 atoms:
Li 0.0000 0.0000 0.0000  4 Hf 2.57, 4 Si 2.57
Hf 0.2500 0.2500 0.2500  4 Co 2.57, 4 Li 2.57
Co 0.5000 0.5000 0.5000  4 Si 2.57, 4 Hf 2.57
Si 0.7500 0.7500 0.7500  4 Li 2.57, 4 Co 2.57

The calculated total energy is -6.6678 eV/atom. The size of the total moment comes out at 0.0 μB per cell. Its symmetry is F-43m, No. 216. For the uncorrected formation energy, the calculation gives -0.569 eV/atom.

Entry 2:
DFT (GGA-PBE) results for an optimized crystal structure of SbAu4.

Unit cell a=5.4222 b=5.4222 c=5.4222 alpha=109.47 beta=109.47 gamma=109.47
With the nearest neighbours (Å) after each atom.
Fractional coordinates of all 5 atoms:
Sb 0.0000 0.0000 0.0000  8 Au 2.71
Au 0.0000 0.0000 0.5000  2 Sb 2.71
Au 0.0000 0.5000 0.0000  2 Sb 2.71
Au 0.5000 0.0000 0.0000  2 Sb 2.71
Au 0.5000 0.5000 0.5000  2 Sb 2.71

The calculated total energy is -3.2163 eV/atom. The size of the total moment comes out at 0.0 μB per cell. Its symmetry is Im-3m, No. 229. The calculation puts the relative energy among the computed polymorphs at 0.201 eV/atom. For the uncorrected formation energy, the calculation gives 0.230 eV/atom.

Entry 3:
DFT (GGA-PBE) results for an optimized crystal structure of PrAl2Cu4Si.

Unit cell a=9.0593 b=9.0593 c=9.0593 alpha=26.46 beta=26.46 gamma=26.46
With the nearest neighbours (Å) after each atom.
Fractional coordinates of all 8 atoms:
Pr 0.0000 0.0000 0.0000  8 Cu 3.12-3.48, 6 Al 3.33
Al 0.2449 0.2449 0.2449  6 Cu 2.41-2.66
Al 0.7551 0.7551 0.7551  6 Cu 2.41-2.66
Cu 0.1326 0.1326 0.1326  3 Si 2.55, 3 Al 2.66, 3 Cu 2.81
Cu 0.4099 0.4099 0.4099  1 Si 2.36, 3 Al 2.41
Cu 0.5901 0.5901 0.5901  1 Si 2.36, 3 Al 2.41
Cu 0.8674 0.8674 0.8674  3 Si 2.55, 3 Al 2.66, 3 Cu 2.81
Si 0.5000 0.5000 0.5000  8 Cu 2.36-2.55

The calculated total energy is -4.4700 eV/atom. The size of the total moment comes out at 0.0 μB per cell. Its symmetry is R-3m, No. 166. For the uncorrected formation energy, the calculation gives -0.211 eV/atom.